*A*
{
  "formula": "HIr2Br",
  "functional": "PBE-GGA",
  "state": "relaxed",
  "dos_ef_per_ev_fu": 2.5,
  "crystal_system": "tetragonal",
  "lattice_angstrom": [[-2.498, 2.498, 4.660], [2.498, -2.498, 4.660], [2.498, 2.498, -4.660]],
  "species": ["H", "H", "Ir", "Ir", "Ir", "Ir", "Br", "Br"],
  "frac_coords": [[0.000, 0.000, 0.000], [0.750, 0.250, 0.500], [0.375, 0.244, 0.369], [0.756, 0.125, 0.131], [0.875, 0.006, 0.631], [0.994, 0.625, 0.869], [0.250, 0.750, 0.500], [0.500, 0.500, 0.000]]
}



*B*
{
  "formula": "HIr2Br",
  "functional": "PBE-GGA",
  "state": "relaxed",
  "dos_ef_per_ev_fu": 4.6,
  "crystal_system": "cubic",
  "lattice_angstrom": [[0.000, 3.004, 3.004], [3.004, 0.000, 3.004], [3.004, 3.004, 0.000]],
  "species": ["H", "Ir", "Ir", "Br"],
  "frac_coords": [[0.000, 0.000, 0.000], [0.250, 0.250, 0.250], [0.750, 0.750, 0.750], [0.500, 0.500, 0.500]]
}



Pick the most stable structure from those above. Pick: *A*